The following is a PBE calculation of an optimized crystal structure of AlTlCo2, from Alexandria.

Cell lengths 4.038, 3.059, 5.210 Å; angles 73.04, 90.00, 90.00 degrees
Each line ends with the local moment (μB).
Sites, in units of the cell vectors:
Tl 0.000 0.461 0.455  -0.03
Co 0.000 0.195 0.985  1.20
Co 0.500 0.074 0.227  1.18
Al 0.500 0.771 0.832  -0.03

* relative energy among the computed polymorphs: 4.06 kcal/mol of atoms
* ΔE_f: 0.25 eV per atom

The following is a PBE calculation of an optimized crystal structure of AlSnMo2Pb, from Alexandria.

Cell lengths 5.236, 5.236, 5.389 Å; angles 90.00, 90.00, 90.00 degrees
Each line ends with the local moment (μB).
Sites, in units of the cell vectors:
Pb 0.000 0.000 0.500  -0.06
Mo 0.000 0.500 0.000  2.53
Mo 0.500 0.000 0.000  2.53
Sn 0.500 0.500 0.500  -0.12
Al 0.000 0.000 0.000  -0.04

* ΔE_f: 1.46 eV per atom